Density functional theory data (GGA-PBE) for an optimized crystal structure of Sr2URhO6.

a b c (Å): 5.2121 5.6897 6.3472
angles (deg): 116.63 109.87 90.00
Last column: nearest neighbours and their distance in Å.
Fractional positions:
O1 0.8016 0.8355 0.1536  1 Rh 2.02, 1 U 2.16
O2 0.1984 0.1645 0.8464  1 Rh 2.02, 1 U 2.16
O3 0.1984 0.6819 0.8464  1 Rh 2.02, 1 U 2.16
O4 0.8016 0.3181 0.1536  1 Rh 2.02, 1 U 2.16
O5 0.7133 0.3234 0.6469  1 U 1.99
O6 0.2867 0.6766 0.3531  1 U 1.99
Rh1 0.5000 0.0000 0.0000  4 O 2.02
U1 0.0000 0.5000 0.0000  6 O 1.99-2.16
Sr1 0.2070 0.2338 0.4675  5 O 2.44-2.62
Sr2 0.7930 0.7662 0.5325  5 O 2.44-2.62

Output
SG: No. 12
Uncorrected formation energy (eV/atom): -2.532